TeS3F PBE relaxed; uncorrected formation energy = 0.756 eV/atom; energy relative to the lowest polymorph listed for this composition = 0.000 eV per atom; space-group type = No. 221; crystal system = cubic; total DFT energy (no corrections) = -2.7228 eV per atom
1.0
4.986 0.000 0.000
0.000 4.986 0.000
0.000 0.000 4.986
Te S F
1 3 1
Cartesian
0.000 0.000 0.000 Te
0.000 0.000 2.493 S
0.000 2.493 0.000 S
2.493 0.000 0.000 S
2.493 2.493 2.493 F